a:
VASP calculation (PBE-GGA) on CuRe2 after structural relaxation.

Calculated values
* mass density: 15.04 g/cm3
* volume: 16.049 Å³ per atom
* crystal system: cubic
* symmetry: Fd-3m (227)

abc: 5.1449 5.1449 5.1449
angles: 60.00 60.00 60.00
With the nearest neighbours (Å) after each atom.
Fractional coordinates of all 6 atoms:
Cu  0.0000  0.0000  0.0000  12 Re 3.02, 4 Cu 3.15
Cu  0.2500  0.2500  0.2500  12 Re 3.02, 4 Cu 3.15
Re  0.6250  0.6250  0.6250  6 Re 2.57
Re  0.1250  0.6250  0.6250  6 Re 2.57
Re  0.6250  0.1250  0.6250  6 Re 2.57
Re  0.6250  0.6250  0.1250  6 Re 2.57

b:
VASP calculation (PBE-GGA) on CuRe2 after structural relaxation.

Calculated values
* mass density: 17.25 g/cm3
* volume: 13.986 Å³ per atom
* crystal system: hexagonal
* symmetry: P-62m (189)

abc: 7.3446 7.3446 2.6943
angles: 90.00 90.00 120.00
With the nearest neighbours (Å) after each atom.
Fractional coordinates of all 9 atoms:
Cu  0.0000  0.0000  0.5000  9 Re 2.62, 2 Cu 2.69
Cu  0.3333  0.6667  0.0000  9 Re 2.55-2.72, 2 Cu 2.69
Cu  0.6667  0.3333  0.0000  9 Re 2.55-2.72, 2 Cu 2.69
Re  0.0000  0.3067  0.0000  4 Cu 2.55-2.62, 8 Re 2.69-2.81
Re  0.0000  0.6430  0.5000  5 Cu 2.62-2.72, 8 Re 2.69-2.81
Re  0.3067  0.0000  0.0000  4 Cu 2.55-2.62, 8 Re 2.69-2.81
Re  0.6933  0.6933  0.0000  4 Cu 2.55-2.62, 8 Re 2.69-2.81
Re  0.6430  0.0000  0.5000  5 Cu 2.62-2.72, 8 Re 2.69-2.81
Re  0.3570  0.3570  0.5000  5 Cu 2.62-2.72, 8 Re 2.69-2.81

Which structure wins on stability? b wins.